No. 1
# FeTeBr2

A relaxed structure of FeTeBr2 (GGA-PBE, Alexandria via LeMat-Bulk).

a = 3.627 Å, b = 3.627 Å, c = 12.041 Å
α = 90.00°, β = 90.00°, γ = 124.93°
Fractional positions:
Fe: 0.000 0.000 0.000
Te: 0.000 0.000 0.500
Br: 0.500 0.500 0.150
Br: 0.500 0.500 0.850

Calculated values
The value obtained for the total magnetization is 4.3 μB per formula unit. Its space group is Cmmm (65). The calculation puts the formation energy (no corrections) at 70 meV per atom.

=====

No. 2
# Zr4CoPt

A relaxed structure of Zr4CoPt (GGA-PBE, Alexandria via LeMat-Bulk).

a = 6.527 Å, b = 6.527 Å, c = 5.491 Å
α = 90.00°, β = 90.00°, γ = 90.00°
Fractional positions:
Zr: 0.155 0.324 0.000
Zr: 0.155 0.676 0.500
Zr: 0.324 0.155 0.500
Zr: 0.324 0.845 0.000
Zr: 0.676 0.155 0.000
Zr: 0.676 0.845 0.500
Zr: 0.845 0.324 0.500
Zr: 0.845 0.676 0.000
Co: 0.000 0.000 0.250
Co: 0.000 0.000 0.750
Pt: 0.500 0.500 0.250
Pt: 0.500 0.500 0.750

Calculated values
The value obtained for the total magnetization is 0.0 μB per formula unit. Its energy of formation from the pure elements is -297 kJ/mol of formula units. Its space group is P4/mcc (124). Its relative energy among the computed polymorphs is 0 meV per atom.

=====

No. 3
# AlSbP2

A relaxed structure of AlSbP2 (GGA-PBE, Alexandria via LeMat-Bulk).

a = 4.099 Å, b = 3.925 Å, c = 6.261 Å
α = 90.00°, β = 105.95°, γ = 90.00°
Fractional positions:
Al: 0.000 0.000 0.000
Sb: 0.553 0.500 0.534
P: 0.015 0.500 0.212
P: 0.411 0.000 0.776

Calculated values
The value obtained for the total magnetization is 0.0 μB per formula unit. Its space group is Pm (6). The calculation puts the formation energy (no corrections) at -70 meV per atom. Its relative energy among the computed polymorphs is 0 meV per atom.

=====

No. 4
# NpCo2

A relaxed structure of NpCo2 (GGA-PBE, Alexandria via LeMat-Bulk).

a = 5.517 Å, b = 5.517 Å, c = 5.517 Å
α = 149.04°, β = 149.04°, γ = 44.35°
Fractional positions:
Np: 0.000 0.000 0.000
Co: 0.315 0.315 0.000
Co: 0.685 0.685 0.000

Calculated values
The value obtained for the total magnetization is 0.5 μB per formula unit. Its energy of formation from the pure elements is 72 kJ/mol of formula units. Its space group is I4/mmm (139).

=====

Which formula does entry 3 have? AlSbP2

=====

Look up the total magnetization of the first one. 4.3 μB per formula unit